Material: BaTePtO
Method: DFT, PBE
State: optimized geometry

```
data_BaTePtO
_cell_length_a 4.1227
_cell_length_b 4.1227
_cell_length_c 11.0357
_cell_angle_alpha 90.00
_cell_angle_beta 90.00
_cell_angle_gamma 90.00
_space_group_name_H-M_alt 'P 1'
_space_group_IT_number 1
_space_group_name_Hall 'P 1'
loop_
_atom_site_label
_atom_site_fract_x
_atom_site_fract_y
_atom_site_fract_z
Pt1 0.7500 0.2500 0.0000
Ba1 0.2500 0.2500 0.6271
Pt2 0.2500 0.7500 0.0000
Te1 0.7500 0.7500 0.8441
Ba2 0.7500 0.7500 0.3729
Te2 0.2500 0.2500 0.1559
O1 0.7500 0.7500 0.5989
O2 0.2500 0.2500 0.4011
```

Its energy above the most stable polymorph in this dataset is 0.019 eV/atom. The total energy comes out at -0.1912 hartree per atom.